Density functional theory data (PBE) for an optimized crystal structure of Pm4Bi3O4.

Cell and atoms, written as POSCAR:
```
Pm4Bi3O4
1.0
8.8759 0.0000 0.0000
0.0000 1.9688 7.3398
0.0000 -1.9688 7.3398
Pm Bi O
4 3 4
Direct
0.0000 0.0000 0.0000
0.2401 0.6547 0.6547
0.5000 0.0164 0.0164
0.7599 0.6547 0.6547
0.0000 0.2999 0.2999
0.3287 0.3485 0.3485
0.6713 0.3485 0.3485
0.0000 0.5770 0.5770
0.2449 0.0750 0.0750
0.5000 0.6003 0.6003
0.7551 0.0750 0.0750
```

Properties
ρ, Mg/m³: 8.23
VASP energy, eV/cell: -75.9